1.
! LiCd2Pd2, PBEsol geometry, DFT meta-GGA SCAN; values from VASP
! - density of states at the Fermi level (states/eV per atom) = 0.3209
! - magnetization (Bohr magnetons per cell) = 0.0
! - energy (eV per cell) = -261.0
&SYSTEM
  ibrav = 0, nat = 10, ntyp = 3
/
ATOMIC_SPECIES
Pd 106.42 Pd.upf
Cd 112.41 Cd.upf
Li 6.94 Li.upf
ATOMIC_POSITIONS angstrom
Pd 1.475 1.057 4.964
Cd 0.000 5.162 1.256
Li 0.000 0.000 0.000
Cd 0.000 2.651 6.558
Pd 1.475 4.964 6.756
Cd 0.000 6.558 5.162
Li 0.000 3.907 3.907
Pd 1.475 6.756 2.849
Cd 0.000 1.256 2.651
Pd 1.475 2.849 1.057
CELL_PARAMETERS angstrom
2.949 0.000 0.000
0.000 7.813 0.000
0.000 0.000 7.813

=====

2.
! Zr4SbAu, PBEsol geometry, DFT meta-GGA SCAN; values from VASP
! - density of states at the Fermi level (states/eV per atom) = 0.8437
! - magnetization (Bohr magnetons per cell) = 0.0
! - energy (eV per cell) = -228.7
&SYSTEM
  ibrav = 0, nat = 6, ntyp = 3
/
ATOMIC_SPECIES
Zr 91.22 Zr.upf
Sb 121.76 Sb.upf
Au 196.97 Au.upf
ATOMIC_POSITIONS angstrom
Zr 5.624 4.874 1.721
Sb 0.000 0.000 0.000
Zr 7.033 2.434 1.721
Zr 4.215 2.434 1.721
Au 8.436 4.871 3.444
Zr 5.624 3.247 4.022
CELL_PARAMETERS angstrom
5.624 0.000 0.000
2.812 4.871 0.000
2.812 1.624 4.592

=====

3.
! TbTmIn2, PBEsol geometry, DFT meta-GGA SCAN; values from VASP
! - density of states at the Fermi level (states/eV per atom) = 0.4750
! - magnetization (Bohr magnetons per cell) = 0.0
! - energy (eV per cell) = -167.8
&SYSTEM
  ibrav = 0, nat = 4, ntyp = 3
/
ATOMIC_SPECIES
Tm 168.93 Tm.upf
In 114.82 In.upf
Tb 158.93 Tb.upf
ATOMIC_POSITIONS angstrom
Tm 0.000 0.000 0.000
In 7.802 4.505 3.185
Tb 5.202 3.003 2.124
In 2.601 1.502 1.062
CELL_PARAMETERS angstrom
5.202 0.000 0.000
2.601 4.505 0.000
2.601 1.502 4.247

=====

4.
! K3Ag, PBEsol geometry, DFT meta-GGA SCAN; values from VASP
! - polymorph energy (0 for the lowest one) (meV/atom) = 21
! - density of states at the Fermi level (states/eV per atom) = 0.5881
! - magnetization (Bohr magnetons per cell) = 0.0
&SYSTEM
  ibrav = 0, nat = 4, ntyp = 2
/
ATOMIC_SPECIES
K 39.10 K.upf
Ag 107.87 Ag.upf
ATOMIC_POSITIONS angstrom
K 0.000 0.000 5.495
K 2.074 2.887 2.768
K 2.074 0.000 0.000
Ag 0.000 2.887 0.000
CELL_PARAMETERS angstrom
4.148 0.000 0.000
0.000 5.773 0.000
-2.074 -2.887 8.263

=====

5.
! Eu2Nb5O9, PBEsol geometry, DFT meta-GGA SCAN; values from VASP
! - density of states at the Fermi level (states/eV per atom) = 1.1575
! - magnetization (Bohr magnetons per cell) = 14.0
! - energy (eV per cell) = -371.9
&SYSTEM
  ibrav = 0, nat = 16, ntyp = 3
/
ATOMIC_SPECIES
O 16.00 O.upf
Nb 92.91 Nb.upf
Eu 151.96 Eu.upf
ATOMIC_POSITIONS angstrom
O 1.094 -1.170 -1.319
O -2.320 -3.515 1.193
O -1.553 -6.402 1.126
Nb 0.182 -5.965 2.178
Nb 0.000 0.000 0.000
O -1.735 -0.437 -1.052
Nb -1.214 -6.381 4.654
O -0.144 -7.683 3.431
Nb -2.647 -5.232 2.446
O -1.527 -8.028 5.855
Nb -0.610 -3.209 2.341
Eu -0.953 -3.247 -1.175
Eu -2.153 -9.558 3.428
O 0.509 -4.248 0.925
O -2.974 -6.950 3.698
O -0.297 -1.563 1.140
CELL_PARAMETERS angstrom
-3.470 -0.874 -2.103
2.189 -2.341 -2.638
-1.824 -9.590 6.994

=====

6.
! Sc2AlFe, PBEsol geometry, DFT meta-GGA SCAN; values from VASP
! - density of states at the Fermi level (states/eV per atom) = 0.3175
! - magnetization (Bohr magnetons per cell) = 0.2
! - energy (eV per cell) = -55.5
&SYSTEM
  ibrav = 0, nat = 4, ntyp = 3
/
ATOMIC_SPECIES
Al 26.98 Al.upf
Sc 44.96 Sc.upf
Fe 55.84 Fe.upf
ATOMIC_POSITIONS angstrom
Al 0.510 3.575 1.782
Sc 0.930 0.900 0.659
Fe -1.636 1.498 0.261
Sc 3.361 3.254 2.383
CELL_PARAMETERS angstrom
-1.118 2.408 -1.712
-2.154 0.588 2.234
4.291 4.154 3.042

=====

7.
! CuOs2Ru, PBEsol geometry, DFT meta-GGA SCAN; values from VASP
! - polymorph energy (0 for the lowest one) (meV/atom) = 348
! - density of states at the Fermi level (states/eV per atom) = 1.1993
! - magnetization (Bohr magnetons per cell) = 0.0
&SYSTEM
  ibrav = 0, nat = 4, ntyp = 3
/
ATOMIC_SPECIES
Ru 101.07 Ru.upf
Os 190.23 Os.upf
Cu 63.55 Cu.upf
ATOMIC_POSITIONS angstrom
Ru 0.000 0.000 4.462
Os 0.000 0.000 0.037
Os 0.701 1.163 6.725
Cu 0.701 1.163 2.260
CELL_PARAMETERS angstrom
2.625 0.003 0.000
-1.223 2.323 0.000
0.000 0.000 8.990

=====

8.
! MgBeMo2, PBEsol geometry, DFT meta-GGA SCAN; values from VASP
! - polymorph energy (0 for the lowest one) (meV/atom) = 0
! - density of states at the Fermi level (states/eV per atom) = 0.8223
! - magnetization (Bohr magnetons per cell) = 0.0
&SYSTEM
  ibrav = 0, nat = 4, ntyp = 3
/
ATOMIC_SPECIES
Mo 95.94 Mo.upf
Mg 24.30 Mg.upf
Be 9.01 Be.upf
ATOMIC_POSITIONS angstrom
Mo 0.000 0.000 0.284
Mg 1.572 1.572 4.494
Be 0.000 0.000 2.842
Mo 1.572 1.572 1.571
CELL_PARAMETERS angstrom
3.145 0.000 0.000
0.000 3.144 0.000
0.000 0.000 6.128

=====

9.
! LiYBe, PBEsol geometry, DFT meta-GGA SCAN; values from VASP
! - density of states at the Fermi level (states/eV per atom) = 0.3802
! - magnetization (Bohr magnetons per cell) = 0.1
! - energy (eV per cell) = -33.8
&SYSTEM
  ibrav = 0, nat = 3, ntyp = 3
/
ATOMIC_SPECIES
Be 9.01 Be.upf
Li 6.94 Li.upf
Y 88.91 Y.upf
ATOMIC_POSITIONS angstrom
Be 0.000 0.000 0.085
Li 1.741 1.741 1.321
Y 0.000 0.000 3.138
CELL_PARAMETERS angstrom
3.482 0.000 0.000
0.000 3.482 0.000
-1.741 -1.741 4.544

=====

10.
! MgAsCl2, PBEsol geometry, DFT meta-GGA SCAN; values from VASP
! - polymorph energy (0 for the lowest one) (meV/atom) = 671
! - density of states at the Fermi level (states/eV per atom) = 0.8704
! - magnetization (Bohr magnetons per cell) = 1.8
&SYSTEM
  ibrav = 0, nat = 4, ntyp = 3
/
ATOMIC_SPECIES
As 74.92 As.upf
Cl 35.45 Cl.upf
Mg 24.30 Mg.upf
ATOMIC_POSITIONS angstrom
As 0.000 0.000 0.000
Cl 2.398 1.384 0.979
Mg 4.795 2.769 1.958
Cl 7.193 4.153 2.937
CELL_PARAMETERS angstrom
4.795 0.000 0.000
2.398 4.153 0.000
2.398 1.384 3.915

=====

11.
! Y5Zn3, PBEsol geometry, DFT meta-GGA SCAN; values from VASP
! - polymorph energy (0 for the lowest one) (meV/atom) = 0
! - density of states at the Fermi level (states/eV per atom) = 1.2154
! - magnetization (Bohr magnetons per cell) = 0.0
&SYSTEM
  ibrav = 0, nat = 16, ntyp = 2
/
ATOMIC_SPECIES
Y 88.91 Y.upf
Zn 65.41 Zn.upf
ATOMIC_POSITIONS angstrom
Y -5.781 -1.690 3.949
Y -7.882 -3.291 6.592
Y -10.965 -2.266 5.476
Y -8.233 -2.564 2.943
Zn -5.726 -3.806 1.779
Zn -8.288 -0.447 5.112
Y -6.131 -0.963 0.299
Zn -9.543 -4.926 4.317
Y -10.864 0.080 3.189
Y -6.321 -5.337 4.562
Zn -4.471 0.673 2.574
Y -7.693 1.083 2.330
Zn -1.226 -0.437 -0.503
Y -3.150 -4.334 3.702
Y -3.048 -1.987 1.416
Zn -3.679 -1.310 -1.508
CELL_PARAMETERS angstrom
-4.905 -1.747 -2.011
-2.710 -6.806 4.776
-6.399 4.299 4.127

=====

12.
! TiSe2O6, PBEsol geometry, DFT meta-GGA SCAN; values from VASP
! - density of states at the Fermi level (states/eV per atom) = 0.0000
! - magnetization (Bohr magnetons per cell) = 0.0
! - energy (eV per cell) = -217.3
&SYSTEM
  ibrav = 0, nat = 18, ntyp = 3
/
ATOMIC_SPECIES
Se 78.96 Se.upf
O 16.00 O.upf
Ti 47.87 Ti.upf
ATOMIC_POSITIONS angstrom
Se 1.265 -6.981 -2.761
O -1.408 -4.476 -0.810
Ti -2.149 -0.487 -0.905
Se -0.319 -3.322 -0.169
O 1.328 -3.436 -4.839
O -0.856 -1.901 -0.996
O 1.802 -8.402 -1.934
O 3.047 -1.799 -3.402
O -2.101 -8.505 0.472
O -0.496 -4.632 -3.498
Se 1.045 -7.286 1.042
Se -0.099 -3.017 -3.972
O 2.354 -5.828 -2.120
O 1.441 -5.671 0.568
O 1.099 -3.549 -1.118
O -0.383 -6.868 1.909
Ti 2.622 -4.665 -0.561
O -0.153 -6.754 -1.812
CELL_PARAMETERS angstrom
-4.299 -0.974 -1.809
4.890 -1.661 -4.406
0.355 -7.669 3.285

=====

13.
! Sr2TcSe, PBEsol geometry, DFT meta-GGA SCAN; values from VASP
! - density of states at the Fermi level (states/eV per atom) = 1.1221
! - magnetization (Bohr magnetons per cell) = 2.2
! - energy (eV per cell) = -98.2
&SYSTEM
  ibrav = 0, nat = 4, ntyp = 3
/
ATOMIC_SPECIES
Tc 98.00 Tc.upf
Sr 87.62 Sr.upf
Se 78.96 Se.upf
ATOMIC_POSITIONS angstrom
Tc 2.512 1.450 1.025
Sr 7.535 4.351 3.076
Se 5.024 2.900 2.051
Sr 0.000 0.000 0.000
CELL_PARAMETERS angstrom
5.024 0.000 0.000
2.512 4.351 0.000
2.512 1.450 4.102

=====

14.
! In2Pt2O7, PBEsol geometry, DFT meta-GGA SCAN; values from VASP
! - density of states at the Fermi level (states/eV per atom) = 0.0000
! - magnetization (Bohr magnetons per cell) = 0.0
! - energy (eV per cell) = -530.4
&SYSTEM
  ibrav = 0, nat = 22, ntyp = 3
/
ATOMIC_SPECIES
O 16.00 O.upf
In 114.82 In.upf
Pt 195.08 Pt.upf
ATOMIC_POSITIONS angstrom
O -8.461 -6.234 0.768
In -9.581 -4.581 2.039
O -4.626 -2.250 2.792
Pt -5.045 -0.477 1.987
In -7.964 -1.828 0.528
O -11.497 -5.497 2.447
Pt -4.835 -2.268 -1.050
O -7.665 -3.665 1.631
O -1.908 -2.632 1.420
O -5.159 -4.705 2.418
O -3.221 0.141 1.479
O -10.170 -2.624 0.845
O -4.444 -3.806 0.153
O -6.632 -3.121 -0.941
O -6.869 -1.095 2.494
O -5.757 -1.033 0.212
O -8.698 -4.208 4.204
In -6.452 -5.020 0.461
Pt -1.916 -0.916 0.408
Pt -3.533 -3.668 1.919
In -6.662 -3.229 3.498
O -3.039 -1.414 -1.160
CELL_PARAMETERS angstrom
-5.838 -2.703 -2.917
-3.234 -5.504 3.022
-6.257 0.878 3.157

=====

15.
! LiMn2B2O6, PBEsol geometry, DFT meta-GGA SCAN; values from VASP
! - polymorph energy (0 for the lowest one) (meV/atom) = 0
! - density of states at the Fermi level (states/eV per atom) = 0.2377
! - magnetization (Bohr magnetons per cell) = 18.0
&SYSTEM
  ibrav = 0, nat = 22, ntyp = 4
/
ATOMIC_SPECIES
O 16.00 O.upf
Mn 54.94 Mn.upf
Li 6.94 Li.upf
B 10.81 B.upf
ATOMIC_POSITIONS angstrom
O 2.937 0.306 3.180
Mn -1.220 4.883 1.466
Li 2.464 1.639 1.749
O -3.381 7.356 2.316
Mn 0.548 7.396 2.154
O 2.731 5.068 1.350
B -2.317 7.820 1.508
O 1.091 0.696 0.755
B 1.638 4.520 2.017
B -2.081 3.142 3.479
O -0.980 2.327 3.280
B 1.873 -0.158 3.988
Li -2.908 6.024 3.748
Mn -0.991 0.267 3.342
O 0.825 0.724 4.281
O -3.175 2.594 4.147
O 0.537 5.335 2.216
O -2.113 4.448 3.103
O -1.269 6.939 1.216
O -1.534 6.966 4.741
O 1.670 3.214 2.394
Mn 0.777 2.780 4.031
CELL_PARAMETERS angstrom
-2.703 -1.328 4.246
5.593 0.568 0.887
-3.334 8.423 0.364

=====

16.
! TlSiRu2, PBEsol geometry, DFT meta-GGA SCAN; values from VASP
! - polymorph energy (0 for the lowest one) (meV/atom) = 0
! - density of states at the Fermi level (states/eV per atom) = 0.4878
! - magnetization (Bohr magnetons per cell) = 0.0
&SYSTEM
  ibrav = 0, nat = 4, ntyp = 3
/
ATOMIC_SPECIES
Si 28.09 Si.upf
Ru 101.07 Ru.upf
Tl 204.38 Tl.upf
ATOMIC_POSITIONS angstrom
Si 1.466 1.614 0.655
Ru 1.466 0.000 2.317
Ru 1.466 1.614 6.577
Tl 0.000 1.614 4.180
CELL_PARAMETERS angstrom
2.931 0.000 0.000
0.000 3.227 0.000
-1.466 -1.614 6.865

=====

17.
! CuH10SO9, PBEsol geometry, DFT meta-GGA SCAN; values from VASP
! - density of states at the Fermi level (states/eV per atom) = 0.0000
! - magnetization (Bohr magnetons per cell) = 2.0
! - energy (eV per cell) = -279.1
&SYSTEM
  ibrav = 0, nat = 42, ntyp = 4
/
ATOMIC_SPECIES
O 16.00 O.upf
H 1.01 H.upf
Cu 63.55 Cu.upf
S 32.06 S.upf
ATOMIC_POSITIONS angstrom
O 2.708 2.694 7.286
H 7.146 3.203 8.342
O 7.960 5.486 5.984
H 5.760 3.527 9.167
H 1.701 1.567 3.972
Cu 1.577 3.824 5.248
H 5.394 3.917 2.032
O 2.287 4.286 1.257
H 7.344 6.063 6.528
O 1.085 2.144 4.516
H 3.651 3.713 8.468
O 4.754 6.595 8.921
H 3.021 5.732 6.208
H 5.309 4.593 6.448
H 1.914 1.629 0.039
Cu 0.000 0.000 0.000
O 4.811 1.498 7.379
O 7.763 6.374 9.759
O 6.758 3.344 9.243
H 3.655 4.697 3.874
H 7.131 6.001 10.461
O 4.566 6.039 6.553
O 4.291 1.035 1.579
H 4.740 2.596 1.376
O 1.282 1.256 0.741
H 1.817 0.909 1.502
O 4.826 3.597 1.280
O 4.219 4.033 9.220
H 1.899 4.427 2.158
O 4.234 6.132 3.121
O 6.337 4.936 3.214
H 3.285 4.103 1.334
H 4.305 5.034 9.124
O 4.479 1.591 3.947
H 3.735 3.037 4.052
S 5.046 7.043 7.544
H 6.024 1.898 4.292
H 7.227 6.721 8.998
O 3.159 3.861 4.113
H 5.390 2.933 6.626
S 3.999 0.587 2.956
O 5.886 3.769 6.387
CELL_PARAMETERS angstrom
5.891 -0.018 0.004
1.732 5.681 0.011
1.422 1.967 10.486

=====

18.
! CsCu3Pd, PBEsol geometry, DFT meta-GGA SCAN; values from VASP
! - density of states at the Fermi level (states/eV per atom) = 1.2024
! - magnetization (Bohr magnetons per cell) = 0.0
! - energy (eV per cell) = -104.7
&SYSTEM
  ibrav = 0, nat = 5, ntyp = 3
/
ATOMIC_SPECIES
Pd 106.42 Pd.upf
Cu 63.55 Cu.upf
Cs 132.91 Cs.upf
ATOMIC_POSITIONS angstrom
Pd -3.484 2.547 -0.103
Cu -0.135 2.293 0.968
Cu -2.216 -0.552 0.998
Cu -1.133 0.807 -2.069
Cs 0.000 0.000 0.000
CELL_PARAMETERS angstrom
-2.265 1.613 -4.138
-4.433 -1.104 1.996
-0.271 4.586 1.936

=====

19.
! CoIr2Rh, PBEsol geometry, DFT meta-GGA SCAN; values from VASP
! - polymorph energy (0 for the lowest one) (meV/atom) = 17
! - density of states at the Fermi level (states/eV per atom) = 0.9407
! - magnetization (Bohr magnetons per cell) = 2.5
&SYSTEM
  ibrav = 0, nat = 4, ntyp = 3
/
ATOMIC_SPECIES
Co 58.93 Co.upf
Rh 102.91 Rh.upf
Ir 192.22 Ir.upf
ATOMIC_POSITIONS angstrom
Co 0.000 1.861 1.874
Rh 1.861 1.861 0.000
Ir 1.861 0.000 1.874
Ir 0.000 0.000 0.000
CELL_PARAMETERS angstrom
3.722 0.000 0.000
0.000 3.722 0.000
-1.861 -1.861 3.748

=====

20.
! BaYRh, PBEsol geometry, DFT meta-GGA SCAN; values from VASP
! - density of states at the Fermi level (states/eV per atom) = 0.5151
! - magnetization (Bohr magnetons per cell) = 0.0
! - energy (eV per cell) = -101.8
&SYSTEM
  ibrav = 0, nat = 3, ntyp = 3
/
ATOMIC_SPECIES
Y 88.91 Y.upf
Ba 137.33 Ba.upf
Rh 102.91 Rh.upf
ATOMIC_POSITIONS angstrom
Y 0.000 0.000 0.000
Ba -5.364 1.983 -2.160
Rh -2.682 0.992 -1.080
CELL_PARAMETERS angstrom
-2.636 4.041 -1.277
-3.168 -0.201 -3.852
-4.923 0.127 0.809